DFT (GGA-PBE) results for a geometry-optimized NpPaIrPt structure.

Calculated values
Formation energy ... -0.50 eV/atom
Mass density ... 16.94 g/cm³
Magnetic moment ... 4.699 μB/f.u.

The structure in CIF format:
```
data_NpPaIrPt
_chemical_formula_sum 'Np4 Pa4 Ir4 Pt4'
_symmetry_space_group_name_H-M 'F -4 3 m'
_symmetry_Int_Tables_number 216
_symmetry_space_group_name_Hall 'F -4 2 3'
_cell_length_a 6.947
_cell_length_b 6.947
_cell_length_c 6.947
_cell_angle_alpha 90.00
_cell_angle_beta 90.00
_cell_angle_gamma 90.00
loop_
_atom_site_label
_atom_site_type_symbol
_atom_site_fract_x
_atom_site_fract_y
_atom_site_fract_z
_atom_site_occupancy
Np1 Np 0.000 0.000 0.000 1
Pa1 Pa 0.000 0.000 0.500 1
Ir1 Ir 0.250 0.250 0.250 1
Pt1 Pt 0.250 0.250 0.750 1
```